Compound: AcLa2CuSe5
Source: Alexandria
Functional: PBE-GGA
Structure: optimized geometry

Geometry as POSCAR:
```
AcLa2CuSe5
1.0
2.1023 -9.8759 0.0000
2.1023 9.8759 0.0000
0.0000 0.0000 11.9905
Ac La Cu Se
2 4 2 10
Cartesian
2.1023 5.9535 5.9953
2.1023 -5.9535 0.0000
2.1023 8.0715 2.0988
2.1023 7.7358 9.6436
2.1023 -7.7358 3.6483
2.1023 -8.0715 8.0940
2.1023 1.2729 11.2649
2.1023 -1.2729 5.2696
2.1023 8.9649 6.5455
2.1023 3.9089 2.2644
2.1023 3.3503 9.8413
2.1023 2.7350 5.9561
2.1023 0.0680 3.2257
2.1023 -0.0680 9.2210
2.1023 -2.7350 11.9513
2.1023 -3.3503 3.8460
2.1023 -3.9089 8.2597
2.1023 -8.9649 0.5503
```

Values from the calculation:
Total magnetic moment ... 0.0 μB per cell
Formation energy (no corrections) ... -1664 meV/atom
Space group ... Cmc2_1 (36)

***

Compound: AcLaCuSe4
Source: Alexandria
Functional: PBE-GGA
Structure: optimized geometry

Geometry as POSCAR:
```
AcLaCuSe4
1.0
7.2530 0.0000 0.0000
0.0000 6.0682 0.0000
-2.5838 0.0000 8.3174
Ac La Cu Se
2 2 2 8
Cartesian
0.5726 1.5171 3.5825
4.0965 4.5512 4.7349
-0.7114 1.5171 7.8007
5.3805 4.5512 0.5167
1.3152 4.5512 1.5436
3.3540 1.5171 6.7738
-0.4688 4.5512 3.1876
-1.7497 4.5512 7.5000
1.5956 3.0911 6.2445
1.5956 6.0112 6.2445
3.0736 0.0570 2.0729
3.0736 2.9771 2.0729
6.4189 1.5171 0.8174
5.1380 1.5171 5.1298
```

Values from the calculation:
Total magnetic moment ... 0.0 μB per cell
Formation energy (no corrections) ... -1520 meV/atom
Space group ... P2_1/m (11)

***

Compound: AcLaCuSi
Source: Alexandria
Functional: PBE-GGA
Structure: optimized geometry

Geometry as POSCAR:
```
AcLaCuSi
1.0
0.0000 3.7569 3.7569
3.7569 0.0000 3.7569
3.7569 3.7569 0.0000
Ac La Cu Si
1 1 1 1
Cartesian
0.0000 0.0000 0.0000
3.7569 3.7569 3.7569
1.8784 1.8784 1.8784
5.6353 5.6353 5.6353
```

Values from the calculation:
Total magnetic moment ... 0.0 μB per cell
Formation energy (no corrections) ... -310 meV/atom
Space group ... F-43m (216)

***

Per-record electronic total energy, eV per atom: -5.61; -5.39; -4.95